(1)
18
Lattice="8.4974 -4.2620 0.0000 8.4974 4.2620 0.0000 0.0000 0.0000 8.5502" Properties=species:S:1:pos:R:3 comment="Ce2Tl2Te5, optimized geometry, DFT PBE" formation_energy_uncorrected_ev_per_atom=-0.8996 pbc="T T T"
Ce 8.4974 2.9230 7.2071
Ce 8.4974 1.3390 2.9320
Ce 8.4974 -1.3390 5.6182
Ce 8.4974 -2.9230 1.3431
Tl 3.4204 0.0000 4.2751
Tl 5.0770 0.0000 0.0000
Tl 11.9179 0.0000 0.0000
Tl 13.5744 0.0000 4.2751
Te 0.0000 0.0000 4.2751
Te 6.4682 3.0009 1.2573
Te 6.4682 1.2611 5.5324
Te 10.5266 3.0009 1.2573
Te 10.5266 1.2611 5.5324
Te 8.4974 0.0000 0.0000
Te 6.4682 -1.2611 3.0178
Te 6.4682 -3.0009 7.2929
Te 10.5266 -1.2611 3.0178
Te 10.5266 -3.0009 7.2929



(2)
3
Lattice="4.9258 0.0000 0.0000 -2.4629 4.2659 0.0000 0.0000 0.0000 3.5035" Properties=species:S:1:pos:R:3 comment="PuZnPb, optimized geometry, DFT PBE" delta_e_f_ev_per_atom=-0.062 pbc="T T T"
Pu 0.0000 0.0000 0.0000
Zn 0.0000 2.8439 1.7518
Pb 2.4629 1.4220 1.7518